TlTe2Cl: relaxed, PBE-GGA.

Results
Density of states at the Fermi level = 0.56 states/eV/atom
VASP energy = -11.509 eV per formula unit
Total magnetic moment = 0.00 Bohr magnetons per cell
Energy relative to the lowest polymorph listed for this composition = 0.148 eV per atom
Uncorrected formation energy = -253 meV per atom

The structure in POSCAR format:
```
TlTe2Cl
1.0
-3.097 2.845 1.195
-1.284 -4.163 -0.370
2.025 -1.384 8.541
Te Cl Tl
2 1 1
Direct
0.500 0.500 0.208
0.000 0.000 0.032
0.500 0.500 0.724
0.000 0.000 0.537
```